# LaPbAu2 GGA-PBE relaxed
data_LaPbAu2
_chemical_formula_sum 'La2 Pb2 Au4'
_cell_length_a 4.998
_cell_length_b 4.998
_cell_length_c 7.847
_cell_angle_alpha 90.00
_cell_angle_beta 90.00
_cell_angle_gamma 90.00
_symmetry_space_group_name_H-M 'I -4 m 2'
_symmetry_Int_Tables_number 119
_symmetry_space_group_name_Hall 'I -4 -2'
loop_
_atom_site_label
_atom_site_fract_x
_atom_site_fract_y
_atom_site_fract_z
La1 0.000 0.000 0.000
Pb1 0.000 0.500 0.750
Au1 0.000 0.000 0.500
Au2 0.000 0.500 0.250
# * energy relative to the elements: -10.7 kcal/mol of atoms
# * energy: -34.1 eV for the cell shown